Here is an optimized crystal structure of TlCuS2 from the Alexandria database. Energies are from PBE-GGA.

a b c (Å): 8.5747 8.5747 8.5747
angles (deg): 23.37 23.37 23.37
Fractional coordinates of all 4 atoms:
1 Tl 0.0000 0.0000 0.0000
2 S 0.8833 0.8833 0.8833
3 S 0.1167 0.1167 0.1167
4 Cu 0.5000 0.5000 0.5000

The value obtained for the raw total energy is -3.62 eV per atom. The symmetry is No. 166. The value obtained for the formation energy (no corrections) is 24 kJ/mol of formula units. The density of states at the Fermi level is 0.9959 states/eV/atom.